Crystalline NiPO3 at its relaxed geometry. Source: the Alexandria database, functional PBE+U.

Cell and atoms, written as extended XYZ:
```
5
Lattice="3.656 0.000 0.000 0.000 3.656 0.000 0.000 0.000 3.656" Properties=species:S:1:pos:R:3 pbc="T T T"
Ni 0.000 0.000 0.000
P 1.828 1.828 1.828
O 0.000 0.000 1.828
O 0.000 1.828 0.000
O 1.828 0.000 0.000
```

## Properties
The energy comes out at -4.454 eV/atom. Its density of states at the Fermi level is 0.621 states/eV/f.u.